VASP calculation (GGA-PBE) on an optimized crystal structure of V2CdPbI.

formation energy without anion corrections: 1.071 eV/atom
DFT total energy: -3.811 eV per atom
space-group type: P4/mmm (123)

Cell and atoms, written as POSCAR:
```
V2CdPbI
1.0
5.418 0.000 0.000
0.000 5.534 0.000
0.000 0.000 5.418
Pb V Cd I
1 2 1 1
Direct
0.000 0.000 0.000
0.000 0.000 0.500
0.500 0.000 0.000
0.000 0.500 0.000
0.500 0.500 0.500
```